Entry from Alexandria: a geometry-optimized ScAgCl4 structure (PBE-GGA).

Unit cell a=5.7993 b=5.7993 c=5.7993 alpha=60.00 beta=60.00 gamma=60.00
Fractional positions:
Sc1 0.0000 0.0000 0.0000
Ag1 0.7500 0.7500 0.7500
Cl1 0.3752 0.3752 0.3752
Cl2 0.3752 0.3752 0.8745
Cl3 0.3752 0.8745 0.3752
Cl4 0.8745 0.3752 0.3752

Results
Polymorph energy (0 for the lowest one), meV/atom: 1683.4
Space group: F-43m
D(E_F), states/eV/f.u.: 6.417
V, Å³/atom: 22.99

---

Entry from Alexandria: a geometry-optimized Mg4CdSn structure (PBE-GGA).

Unit cell a=4.8131 b=4.8131 c=6.7457 alpha=90.00 beta=90.00 gamma=90.00
Fractional positions:
Mg1 0.0000 0.5000 0.2429
Mg2 0.0000 0.5000 0.7571
Mg3 0.5000 0.0000 0.2429
Mg4 0.5000 0.0000 0.7571
Cd1 0.0000 0.0000 0.0000
Sn1 0.5000 0.5000 0.5000

Results
Energy of formation from the pure elements, eV/atom: -0.061
Polymorph energy (0 for the lowest one), meV/atom: 0.0
Space group: P4/mmm
D(E_F), states/eV/f.u.: 2.151
V, Å³/atom: 26.04

---

Entry from Alexandria: a geometry-optimized Ag2ClF structure (PBE-GGA).

Unit cell a=6.6535 b=6.6535 c=6.6535 alpha=32.40 beta=32.40 gamma=32.40
Fractional positions:
Ag1 0.0000 0.0000 0.0000
Ag2 0.1855 0.1855 0.1855
Cl1 0.4251 0.4251 0.4251
F1 0.5951 0.5951 0.5951

Results
Polymorph energy (0 for the lowest one), meV/atom: 32.1
Space group: R3m
D(E_F), states/eV/f.u.: 2.831
V, Å³/atom: 18.79

---

Entry from Alexandria: a geometry-optimized ScAu structure (PBE-GGA).

Unit cell a=5.4721 b=5.4721 c=5.4721 alpha=90.00 beta=90.00 gamma=90.00
Fractional positions:
Sc1 0.0773 0.0773 0.0773
Sc2 0.4227 0.9227 0.5773
Sc3 0.5773 0.4227 0.9227
Sc4 0.9227 0.5773 0.4227
Au1 0.0770 0.5770 0.9230
Au2 0.4230 0.4230 0.4230
Au3 0.5770 0.9230 0.0770
Au4 0.9230 0.0770 0.5770

Results
Energy of formation from the pure elements, eV/atom: -0.703
Space group: P2_13
D(E_F), states/eV/f.u.: 1.539
V, Å³/atom: 20.48

---

Entry from Alexandria: a geometry-optimized Tb8NdY6 structure (PBE-GGA).

Unit cell a=8.6578 b=8.6578 c=8.6578 alpha=63.25 beta=63.25 gamma=63.25
Fractional positions:
Tb1 0.0763 0.0763 0.0763
Tb2 0.2192 0.6111 0.2459
Tb3 0.2459 0.2192 0.6111
Tb4 0.3889 0.7541 0.7808
Tb5 0.6111 0.2459 0.2192
Tb6 0.7541 0.7808 0.3889
Tb7 0.7808 0.3889 0.7541
Tb8 0.9237 0.9237 0.9237
Nd1 0.5000 0.5000 0.5000
Y1 0.0377 0.6040 0.7376
Y2 0.2624 0.9623 0.3960
Y3 0.3960 0.2624 0.9623
Y4 0.6040 0.7376 0.0377
Y5 0.7376 0.0377 0.6040
Y6 0.9623 0.3960 0.2624

Results
Energy of formation from the pure elements, eV/atom: 0.123
Space group: R-3
D(E_F), states/eV/f.u.: 23.591
V, Å³/atom: 32.79

---

Entry from Alexandria: a geometry-optimized P2PbBr structure (PBE-GGA).

Unit cell a=6.7766 b=6.7766 c=6.7766 alpha=145.74 beta=145.57 gamma=49.36
Fractional positions:
P1 0.2505 0.2505 0.0000
P2 0.7495 0.7495 0.0000
Pb1 0.5000 0.0000 0.5000
Br1 0.0000 0.5000 0.5000

Results
Polymorph energy (0 for the lowest one), meV/atom: 646.4
Space group: Immm
D(E_F), states/eV/f.u.: 2.024
V, Å³/atom: 24.65

---

Entry from Alexandria: a geometry-optimized Sm3CoCl2 structure (PBE-GGA).

Unit cell a=7.6491 b=7.6491 c=7.6491 alpha=151.18 beta=135.53 gamma=53.86
Fractional positions:
Sm1 0.0000 0.0000 0.0000
Sm2 0.3692 0.3692 0.0000
Sm3 0.6308 0.6308 0.0000
Co1 0.5000 0.0000 0.5000
Cl1 0.1778 0.6778 0.5000
Cl2 0.8222 0.3222 0.5000

Results
Space group: Immm
D(E_F), states/eV/f.u.: 3.974
V, Å³/atom: 25.05
E_tot, eV per cell: -31.14

---

Entry from Alexandria: a geometry-optimized Tb3NdSm6Tm2 structure (PBE-GGA).

Unit cell a=6.2238 b=6.2238 c=11.8829 alpha=95.00 beta=95.00 gamma=119.97
Fractional positions:
Tb1 0.0000 0.0000 0.0000
Tb2 0.3330 0.6670 0.0000
Tb3 0.6670 0.3330 0.0000
Nd1 0.5000 0.5000 0.5000
Sm1 0.0818 0.4162 0.2500
Sm2 0.2495 0.2495 0.7498
Sm3 0.4162 0.0818 0.2500
Sm4 0.5838 0.9182 0.7500
Sm5 0.7505 0.7505 0.2502
Sm6 0.9182 0.5838 0.7500
Tm1 0.1666 0.8334 0.5000
Tm2 0.8334 0.1666 0.5000

Results
Energy of formation from the pure elements, eV/atom: 0.015
Space group: C2/m
D(E_F), states/eV/f.u.: 14.925
V, Å³/atom: 32.72

---

Q: V of number 8 (Tb3NdSm6Tm2)?
A: 32.72 Å³/atom